The following is a DFT calculation (GGA-PBE) of a relaxed structure of Cs2Mg12Pb7.

```
21
Lattice="-2.319 3.941 -1.648 -10.567 -5.637 1.387 4.602 6.494 9.055" Properties=species:S:1:pos:R:3 pbc="T T T"
Mg -7.930 -0.624 6.075
Mg -7.626 2.826 6.701
Mg 2.021 5.913 7.750
Mg -10.304 -1.115 1.045
Mg -3.390 0.994 3.557
Mg -4.893 3.804 5.238
Mg -6.953 -2.189 0.960
Mg -0.353 5.422 2.719
Mg -0.657 1.972 2.094
Mg -3.836 2.406 0.364
Mg -4.447 2.392 8.431
Mg -1.330 6.987 7.835
Pb -3.937 5.402 7.673
Pb -5.262 0.883 5.968
Pb -3.021 3.915 2.826
Pb -8.645 -2.132 3.516
Pb 0.362 6.930 5.278
Pb -4.346 -0.604 1.121
Pb -1.159 1.970 -0.824
Cs -1.047 3.458 6.078
Cs -7.236 1.340 2.717
```

Summary:
* calculated total energy: -48.8 eV per formula unit
* formation energy from the elements: -97 meV/atom
* DOS(E_F): 0.38 states/eV per atom